Entry 1:
Density functional theory data (PBE) for crystalline SbOsSe2 at its relaxed geometry.

It has space group Immm (No. 71), with a = 3.259 Å, b = 4.838 Å, c = 11.072 Å, α = 90.00°, β = 90.00° and γ = 90.00°. The distinct sites, in fractional coordinates, are Sb at (0.000, 0.000, 0.000), Os at (0.000, 0.000, 0.500) and Se at (0.000, 0.500, 0.176).

The total energy comes out at -5.264 eV per atom. The calculation puts the uncorrected formation energy at 316 meV per atom.



Entry 2:
Density functional theory data (PBE) for crystalline SbOsSe at its relaxed geometry.

It has space group P2_1/c (No. 14), with a = 6.453 Å, b = 6.372 Å, c = 6.497 Å, α = 90.00°, β = 112.97° and γ = 90.00°. The distinct sites, in fractional coordinates, are Sb at (0.144, 0.136, 0.380), Os at (0.287, 0.506, 0.300) and Se at (0.349, 0.634, 0.683).

The total energy comes out at -6.460 eV per atom. The calculation puts the uncorrected formation energy at -182 meV per atom.



Entry 3:
Density functional theory data (PBE) for crystalline SbOsSe2 at its relaxed geometry.

It has space group P4mm (No. 99), with a = 3.010 Å, b = 3.010 Å, c = 9.490 Å, α = 90.00°, β = 90.00° and γ = 90.00°. The distinct sites, in fractional coordinates, are Sb at (0.000, 0.000, 0.000), Os at (0.500, 0.500, 0.779), Se at (0.000, 0.000, 0.628) and Se at (0.500, 0.500, 0.310).

The total energy comes out at -5.235 eV per atom. The calculation puts the uncorrected formation energy at 345 meV per atom.